1.
The following is a DFT calculation (PBE) of a geometry-optimized PrEr2Pt structure.

Values from the calculation:
The energy above the lowest structure with this stoichiometry is 103.8 meV per atom. The crystal system is trigonal. The value obtained for the energy of formation is -0.568 eV per atom.

a b c (Å): 3.9575 3.9575 27.0159
angles (deg): 90.00 90.00 120.00
Space group R3m (No. 160, hexagonal axes)
Unique sites:
Pr: 0.0000 0.0000 0.0000 (multiplicity 3)
Er: 0.0000 0.0000 0.2277 (multiplicity 3)
Er: 0.0000 0.0000 0.4441 (multiplicity 3)
Pt: 0.0000 0.0000 0.8364 (multiplicity 3)



2.
The following is a DFT calculation (PBE) of a geometry-optimized Pr2Er3Pt2 structure.

Values from the calculation:
The crystal system is monoclinic. The value obtained for the energy of formation is -0.784 eV per atom.

a b c (Å): 12.5799 3.7671 9.1263
angles (deg): 90.00 117.83 90.00
Space group C2/m (No. 12)
Unique sites:
Pr: 0.1592 0.0000 0.3123 (multiplicity 4)
Er: 0.0000 0.5000 0.5000 (multiplicity 2)
Er: 0.1175 0.5000 0.9375 (multiplicity 4)
Pt: 0.1651 0.0000 0.7426 (multiplicity 4)



3.
The following is a DFT calculation (PBE) of a geometry-optimized PrEr3Pt2 structure.

Values from the calculation:
The energy above the lowest structure with this stoichiometry is 155.5 meV per atom. The crystal system is monoclinic. The value obtained for the energy of formation is -0.784 eV per atom.

a b c (Å): 16.2245 5.0476 8.2985
angles (deg): 90.00 113.05 90.00
Space group C2/m (No. 12)
Unique sites:
Pr: 0.1605 0.0000 0.2618 (multiplicity 4)
Er: 0.0584 0.0000 0.7547 (multiplicity 4)
Er: 0.1129 0.5000 0.5162 (multiplicity 4)
Er: 0.1874 0.5000 0.9931 (multiplicity 4)
Pt: 0.0019 0.5000 0.8372 (multiplicity 4)
Pt: 0.2031 0.0000 0.6487 (multiplicity 4)



4.
The following is a DFT calculation (PBE) of a geometry-optimized Pr2ErPt2 structure.

Values from the calculation:
The energy above the lowest structure with this stoichiometry is 0.0 meV per atom. The crystal system is orthorhombic. The value obtained for the energy of formation is -0.941 eV per atom.

a b c (Å): 4.0316 6.7884 9.6032
angles (deg): 90.00 90.00 90.00
Space group Immm (No. 71)
Unique sites:
Pr: 0.0000 0.0000 0.1933 (multiplicity 4)
Er: 0.0000 0.5000 0.0000 (multiplicity 2)
Pt: 0.0000 0.2882 0.5000 (multiplicity 4)



5.
The following is a DFT calculation (PBE) of a geometry-optimized PrErPt2 structure.

Values from the calculation:
The energy above the lowest structure with this stoichiometry is 169.9 meV per atom. The crystal system is trigonal. The value obtained for the energy of formation is -1.024 eV per atom.

a b c (Å): 4.0778 4.0778 21.0286
angles (deg): 90.00 90.00 120.00
Space group R3m (No. 160, hexagonal axes)
Unique sites:
Pr: 0.0000 0.0000 0.0000 (multiplicity 3)
Er: 0.0000 0.0000 0.8280 (multiplicity 3)
Pt: 0.0000 0.0000 0.2422 (multiplicity 3)
Pt: 0.0000 0.0000 0.4188 (multiplicity 3)



6.
The following is a DFT calculation (PBE) of a geometry-optimized PrEr3Pt2 structure.

Values from the calculation:
The energy above the lowest structure with this stoichiometry is 0.0 meV per atom. The crystal system is orthorhombic. The value obtained for the energy of formation is -0.940 eV per atom.

a b c (Å): 4.7773 8.8461 7.1792
angles (deg): 90.00 90.00 90.00
Space group Pmc2_1 (No. 26)
Unique sites:
Pr: 0.0000 0.0794 0.0000 (multiplicity 2)
Er: 0.0000 0.3352 0.6352 (multiplicity 2)
Er: 0.5000 0.1777 0.3490 (multiplicity 2)
Er: 0.5000 0.4219 0.9803 (multiplicity 2)
Pt: 0.0000 0.3486 0.2390 (multiplicity 2)
Pt: 0.5000 0.1654 0.7424 (multiplicity 2)



7.
The following is a DFT calculation (PBE) of a geometry-optimized Pr2ErSi3Pt12 structure.

Values from the calculation:
Its uncorrected formation energy is -9.94 eV/f.u. The crystal system is trigonal.

a b c (Å): 8.3450 8.3450 18.1940
angles (deg): 90.00 90.00 120.00
Space group R-3m (No. 166, hexagonal axes)
Unique sites:
Pr: 0.0000 0.0000 0.1003 (multiplicity 6)
Er: 0.0000 0.0000 0.5000 (multiplicity 3)
Si: 0.0000 0.5000 0.0000 (multiplicity 9)
Pt: 0.0266 0.5133 0.8708 (multiplicity 18)
Pt: 0.0345 0.5172 0.3657 (multiplicity 18)



8.
The following is a DFT calculation (PBE) of a geometry-optimized Pr2ErSi3Pt4 structure.

Values from the calculation:
Its uncorrected formation energy is -10.65 eV/f.u. The crystal system is tetragonal.

a b c (Å): 4.2976 4.2976 10.7530
angles (deg): 90.00 90.00 90.00
Space group P-4m2 (No. 115)
Unique sites:
Pr: 0.0000 0.5000 0.2291 (multiplicity 2)
Er: 0.0000 0.0000 0.5000 (multiplicity 1)
Si: 0.0000 0.5000 0.8813 (multiplicity 2)
Si: 0.5000 0.5000 0.5000 (multiplicity 1)
Pt: 0.0000 0.0000 0.0000 (multiplicity 1)
Pt: 0.0000 0.5000 0.6572 (multiplicity 2)
Pt: 0.5000 0.5000 0.0000 (multiplicity 1)



no.,E (eV/atom),calculated density (kg/m³)
1,-5.55,9116
2,-5.83,10192
3,-5.88,10971
4,-6.18,10605
5,-6.38,11488
6,-6.03,11306
7,-6.27,13050
8,-6.52,10984